Density functional theory data (PBE+U) for crystalline In2CoSiO4 at its relaxed geometry.

POSCAR file:
```
In2CoSiO4
1.0
2.8807 -5.2467 0.0000
2.8807 5.2467 0.0000
0.0000 0.0000 7.9638
In Co Si O
4 2 2 8
direct
0.0495 0.9505 0.5000
0.3803 0.6197 0.3291
0.6197 0.3803 0.8291
0.9505 0.0495 0.0000
0.2572 0.7428 0.0377
0.7428 0.2572 0.5377
0.3197 0.6803 0.7009
0.6803 0.3197 0.2009
0.1324 0.4235 0.5750
0.1734 0.8266 0.7707
0.4073 0.5927 0.8740
0.4235 0.1324 0.0750
0.5765 0.8676 0.5750
0.5927 0.4073 0.3740
0.8266 0.1734 0.2707
0.8676 0.5765 0.0750
```

The value obtained for the total energy is -5.98 eV per atom. As for the calculated volume: 15.05 Å³/atom.